[1]
PBE LiCu2NiSe, optimized geometry; energy relative to the elements, uncorrected = 626 meV/atom; symmetry = P4/mmm; raw total energy = -3.25 eV/atom
1.0
4.114 0.000 0.000
0.000 4.114 0.000
0.000 0.000 4.284
Se Li Ni Cu
1 1 1 2
Cartesian
0.000 0.000 2.142
0.000 0.000 0.000
2.057 2.057 2.142
0.000 2.057 0.000
2.057 0.000 0.000

---

[2]
PBE AgC3, optimized geometry; formation enthalpy at 0 K = 2.486 eV per atom; symmetry = P-6m2; raw total energy = -5.14 eV/atom; energy above the lowest structure with this stoichiometry = 147.4 kJ/mol of atoms
1.0
3.316 0.000 0.000
-1.658 2.872 0.000
0.000 0.000 4.902
C Ag
3 1
Cartesian
1.658 0.957 1.772
0.000 0.000 2.451
1.658 0.957 3.130
0.000 0.000 0.000

---

[3]
PBE Sc2TlPb, optimized geometry; formation enthalpy at 0 K = -0.287 eV per atom; symmetry = P2/m; raw total energy = -4.97 eV/atom; energy above the lowest structure with this stoichiometry = 3.1 kJ/mol of atoms
1.0
-3.778 -0.812 1.861
1.275 -2.789 1.372
3.175 0.683 6.742
Tl Sc Pb
1 2 1
Cartesian
-0.776 -0.932 2.959
2.216 -1.067 4.032
1.285 -2.775 1.398
1.449 -1.986 7.017

---

[4]
PBE SrYTc, optimized geometry; formation enthalpy at 0 K = 0.392 eV per atom; symmetry = I4mm; raw total energy = -5.78 eV/atom; energy above the lowest structure with this stoichiometry = 0.0 kJ/mol of atoms
1.0
-6.234 -3.269 0.632
-4.109 -4.884 3.037
-1.679 1.742 2.656
Tc Y Sr
1 1 1
Cartesian
-4.411 -1.379 2.976
-7.852 -5.308 3.378
-10.102 -7.878 3.641

---

[5]
PBE TiV2Zn2, optimized geometry; formation enthalpy at 0 K = 0.175 eV per atom; symmetry = P4/mbm; raw total energy = -5.56 eV/atom; energy above the lowest structure with this stoichiometry = 2.5 kJ/mol of atoms
1.0
6.980 0.000 0.000
0.000 6.980 0.000
0.000 0.000 3.050
V Ti Zn
4 2 4
Cartesian
4.726 5.745 1.525
5.745 2.255 1.525
1.236 4.726 1.525
2.255 1.236 1.525
0.000 0.000 0.000
3.490 3.490 0.000
6.119 4.352 0.000
2.629 6.119 0.000
0.862 2.629 0.000
4.352 0.862 0.000

---

[6]
PBE FePt2Rh3, optimized geometry; formation enthalpy at 0 K = -0.045 eV per atom; symmetry = P4/mmm; raw total energy = -7.14 eV/atom
1.0
-2.519 1.042 -0.296
-0.914 -2.446 -0.836
-2.426 -2.791 10.813
Fe Rh Pt
1 3 2
Cartesian
-2.929 -2.097 4.840
-0.844 -0.971 3.762
-1.582 -1.820 7.051
0.000 0.000 0.000
-3.725 -3.012 8.386
-2.134 -1.182 1.295

---

[7]
PBE CaSnPb2Br8, optimized geometry; energy relative to the elements, uncorrected = -1144 meV/atom; symmetry = P2/m; raw total energy = -3.38 eV/atom
1.0
-2.102 -5.363 4.297
6.336 -0.501 2.521
-2.085 5.966 6.426
Br Sn Pb Ca
8 1 2 1
Cartesian
-1.172 4.068 8.484
-1.889 -0.130 9.063
-0.822 -3.183 5.775
3.321 -3.966 4.759
2.971 3.285 7.469
4.037 0.232 4.181
2.264 -0.946 7.933
-0.115 1.048 5.310
-1.043 2.983 3.213
1.600 -1.454 5.001
0.549 1.556 8.243
0.000 0.000 0.000

---

[8]
PBE Sr3Ca5Hg3, optimized geometry; formation enthalpy at 0 K = -0.181 eV per atom; symmetry = P-62m; raw total energy = -1.63 eV/atom
1.0
-5.658 -2.359 -1.607
1.608 2.397 -9.178
2.682 -8.648 3.254
Sr Hg Ca
3 3 5
Cartesian
1.745 -2.542 -2.409
1.591 -5.131 1.931
0.954 1.422 -5.445
-1.145 -6.609 1.239
-1.232 -3.506 -3.009
-1.819 0.325 -6.566
0.390 -5.870 -5.249
-0.505 -6.146 -1.694
-2.427 -0.581 -3.095
-2.159 -3.338 0.008
-0.863 -2.464 -5.838

---

[9]
PBE NaLiNb2Zn, optimized geometry; formation enthalpy at 0 K = 1.151 eV per atom; symmetry = P4/mmm; raw total energy = -3.78 eV/atom
1.0
4.553 0.000 0.000
0.000 4.491 0.000
0.000 0.000 4.553
Na Zn Nb Li
1 1 2 1
Cartesian
2.277 2.246 2.277
0.000 2.246 0.000
0.000 0.000 2.277
2.277 0.000 0.000
0.000 0.000 0.000

---

[10]
PBE Rb2BaBi2, optimized geometry; formation enthalpy at 0 K = -0.286 eV per atom; symmetry = P4/mbm; raw total energy = -2.61 eV/atom; energy above the lowest structure with this stoichiometry = 13.5 kJ/mol of atoms
1.0
10.520 0.000 0.000
0.000 10.520 0.000
0.000 0.000 3.866
Bi Rb Ba
4 4 2
Cartesian
7.224 8.556 1.933
8.556 3.296 1.933
1.964 7.224 1.933
3.296 1.964 1.933
1.185 4.075 0.000
9.335 6.445 0.000
6.445 1.185 0.000
4.075 9.335 0.000
5.260 5.260 0.000
0.000 0.000 0.000

---

[11]
PBE MnCrCl2, optimized geometry; energy relative to the elements, uncorrected = -13 meV/atom; symmetry = Cmmm; raw total energy = -5.63 eV/atom; energy above the lowest structure with this stoichiometry = 25.0 kJ/mol of atoms
1.0
3.442 0.045 0.000
-1.856 2.899 0.000
0.000 0.000 9.275
Cr Cl Mn
1 2 1
Cartesian
0.793 1.472 2.319
0.000 0.000 0.626
0.000 0.000 4.012
0.793 1.472 6.956

---

[12]
PBE SmGdScIr, optimized geometry; formation enthalpy at 0 K = -0.194 eV per atom; symmetry = F-43m; raw total energy = -8.69 eV/atom
1.0
5.088 0.000 0.000
2.544 4.407 0.000
2.544 1.469 4.155
Sc Ir Gd Sm
1 1 1 1
Cartesian
2.544 1.469 1.039
7.633 4.407 3.116
5.088 2.938 2.077
0.000 0.000 0.000